(1)
Here is crystalline Tm6Tl2Pb3 at its relaxed geometry from Alexandria via LeMat-Bulk. Energies are from PBE.

**Energy of formation from the pure elements**: 0.4 eV per formula unit

Structure (extended XYZ):
```
11
Lattice="-2.874 2.874 10.901 2.874 -2.874 10.901 2.874 2.874 -10.901" Properties=species:S:1:pos:R:3 pbc="T T T"
Tm 2.874 0.000 1.886
Tm 0.000 0.000 4.332
Tm 2.874 0.000 9.016
Tm 0.000 2.874 1.886
Tm 0.000 0.000 17.471
Tm 0.000 2.874 9.016
Tl 0.000 0.000 1.431
Tl 0.000 0.000 20.372
Pb 0.000 0.000 7.369
Pb 0.000 0.000 10.901
Pb 0.000 0.000 14.433
```

=====

(2)
Here is crystalline Ga2AgIrRu at its relaxed geometry from Alexandria via LeMat-Bulk. Energies are from PBE.

**Energy of formation from the pure elements**: 5.7 eV per formula unit

Structure (extended XYZ):
```
5
Lattice="4.576 0.000 0.000 0.000 4.576 0.000 0.000 0.000 5.017" Properties=species:S:1:pos:R:3 pbc="T T T"
Ga 0.000 2.288 0.000
Ga 2.288 0.000 0.000
Ag 0.000 0.000 2.508
Ir 2.288 2.288 2.508
Ru 0.000 0.000 0.000
```

=====

(3)
Here is crystalline AlCS3 at its relaxed geometry from Alexandria via LeMat-Bulk. Energies are from PBE.

**Energy relative to the elements, uncorrected**: 947 meV per atom

Structure (extended XYZ):
```
5
Lattice="4.112 0.000 0.000 0.000 4.112 0.000 0.000 0.000 4.112" Properties=species:S:1:pos:R:3 pbc="T T T"
Al 0.000 0.000 0.000
C 2.056 2.056 2.056
S 0.000 2.056 2.056
S 2.056 0.000 2.056
S 2.056 2.056 0.000
```

=====

(4)
Here is crystalline Tm12Ag6Pb at its relaxed geometry from Alexandria via LeMat-Bulk. Energies are from PBE.

**Energy of formation from the pure elements**: -3.5 eV per formula unit

Structure (extended XYZ):
```
19
Lattice="-5.012 5.012 5.012 5.012 -5.012 5.012 5.012 5.012 -5.012" Properties=species:S:1:pos:R:3 pbc="T T T"
Tm 5.012 3.118 -2.133
Tm 2.880 0.000 1.894
Tm 7.145 0.000 1.894
Tm 1.894 2.880 0.000
Tm 3.118 -2.133 5.012
Tm 0.000 1.894 2.880
Tm 5.012 3.118 2.133
Tm 1.894 7.145 0.000
Tm 3.118 2.133 5.012
Tm -2.133 5.012 3.118
Tm 2.133 5.012 3.118
Tm 0.000 1.894 7.145
Ag 5.012 1.354 0.000
Ag 5.012 0.000 3.659
Ag 3.659 5.012 0.000
Ag 1.354 0.000 5.012
Ag 0.000 5.012 1.354
Ag 0.000 3.659 5.012
Pb 0.000 0.000 0.000
```

=====

(5)
Here is crystalline SmTm2Hf at its relaxed geometry from Alexandria via LeMat-Bulk. Energies are from PBE.

**Energy of formation from the pure elements**: 0.9 eV per formula unit

Structure (extended XYZ):
```
4
Lattice="3.931 0.000 0.000 0.000 3.931 0.000 0.000 0.000 7.503" Properties=species:S:1:pos:R:3 pbc="T T T"
Sm 0.000 0.000 0.000
Tm 1.966 1.966 2.126
Tm 1.966 1.966 5.376
Hf 0.000 0.000 3.751
```

=====

(6)
Here is crystalline SnOs at its relaxed geometry from Alexandria via LeMat-Bulk. Energies are from PBE.

**Energy of formation from the pure elements**: 1.1 eV per formula unit

Structure (extended XYZ):
```
2
Lattice="3.164 0.000 0.000 -1.582 2.740 0.000 0.000 0.000 4.125" Properties=species:S:1:pos:R:3 pbc="T T T"
Sn 0.000 0.000 0.000
Os 0.000 1.827 2.063
```

=====

(7)
Here is crystalline Tm2PdPt4 at its relaxed geometry from Alexandria via LeMat-Bulk. Energies are from PBE.

**Energy of formation from the pure elements**: -5.8 eV per formula unit

Structure (extended XYZ):
```
14
Lattice="3.862 0.000 0.000 0.000 3.862 0.000 0.000 0.000 18.445" Properties=species:S:1:pos:R:3 pbc="T T T"
Tm 0.000 0.000 1.900
Tm 0.000 0.000 16.544
Tm 1.931 1.931 7.322
Tm 1.931 1.931 11.123
Pd 0.000 0.000 9.222
Pd 1.931 1.931 0.000
Pt 0.000 0.000 6.592
Pt 0.000 0.000 11.852
Pt 0.000 1.931 4.611
Pt 0.000 1.931 13.834
Pt 1.931 0.000 4.611
Pt 1.931 0.000 13.834
Pt 1.931 1.931 2.630
Pt 1.931 1.931 15.815
```

=====

(8)
Here is crystalline PmGe5Ir2 at its relaxed geometry from Alexandria via LeMat-Bulk. Energies are from PBE.

**Energy of formation from the pure elements**: -1.9 eV per formula unit

Structure (extended XYZ):
```
16
Lattice="4.132 0.000 0.000 0.000 7.798 0.000 0.000 0.000 9.642" Properties=species:S:1:pos:R:3 pbc="T T T"
Pm 0.000 0.000 0.000
Pm 2.066 3.899 4.821
Ge 0.000 1.529 3.329
Ge 0.000 1.529 6.313
Ge 0.000 3.899 0.000
Ge 0.000 6.268 3.329
Ge 0.000 6.268 6.313
Ge 2.066 0.000 4.821
Ge 2.066 2.370 1.492
Ge 2.066 2.370 8.149
Ge 2.066 5.428 1.492
Ge 2.066 5.428 8.149
Ir 0.000 3.899 2.395
Ir 0.000 3.899 7.247
Ir 2.066 0.000 2.426
Ir 2.066 0.000 7.216
```

=====

(9)
Here is crystalline Dy3SnTe6 at its relaxed geometry from Alexandria via LeMat-Bulk. Energies are from PBE.

**Energy relative to the elements, uncorrected**: -1029 meV per atom

Structure (extended XYZ):
```
20
Lattice="6.039 -7.508 0.000 6.039 7.508 0.000 0.000 0.000 7.475" Properties=species:S:1:pos:R:3 pbc="T T T"
Dy 6.039 6.124 3.738
Dy 3.816 1.451 2.973
Dy 3.816 -1.451 6.711
Dy 8.262 1.451 2.973
Dy 8.262 -1.451 6.711
Dy 6.039 -6.124 0.000
Sn 6.039 3.063 6.452
Sn 6.039 -3.063 2.715
Te 3.853 4.121 4.852
Te 1.971 0.561 5.249
Te 1.971 -0.561 1.511
Te 6.039 3.354 1.969
Te 8.226 4.121 4.852
Te 6.039 0.416 5.138
Te 6.039 -0.416 1.400
Te 3.853 -4.121 1.115
Te 6.039 -3.354 5.707
Te 10.107 0.561 5.249
Te 10.107 -0.561 1.511
Te 8.226 -4.121 1.115
```

=====

(10)
Here is crystalline LiPmAlPt at its relaxed geometry from Alexandria via LeMat-Bulk. Energies are from PBE.

**Energy of formation from the pure elements**: -2.8 eV per formula unit

Structure (extended XYZ):
```
16
Lattice="6.710 0.000 0.000 0.000 6.710 0.000 0.000 0.000 6.710" Properties=species:S:1:pos:R:3 pbc="T T T"
Li 0.000 0.000 0.000
Li 0.000 3.355 3.355
Li 3.355 0.000 3.355
Li 3.355 3.355 0.000
Pm 1.678 1.678 5.033
Pm 1.678 5.033 1.678
Pm 5.033 1.678 1.678
Pm 5.033 5.033 5.033
Al 1.678 1.678 1.678
Al 1.678 5.033 5.033
Al 5.033 1.678 5.033
Al 5.033 5.033 1.678
Pt 0.000 0.000 3.355
Pt 0.000 3.355 0.000
Pt 3.355 0.000 0.000
Pt 3.355 3.355 3.355
```

=====

(11)
Here is crystalline Re2NiRh at its relaxed geometry from Alexandria via LeMat-Bulk. Energies are from PBE.

**Energy of formation from the pure elements**: 0.3 eV per formula unit

Structure (extended XYZ):
```
12
Lattice="2.736 0.000 0.000 -1.368 2.369 0.000 0.000 0.000 25.963" Properties=species:S:1:pos:R:3 pbc="T T T"
Re 0.000 0.000 0.000
Re 0.000 0.000 6.397
Re 0.000 1.580 17.309
Re 0.000 1.580 23.706
Re 1.368 0.790 8.654
Re 1.368 0.790 15.052
Ni 0.000 0.000 19.390
Ni 0.000 1.580 10.735
Ni 1.368 0.790 2.081
Rh 0.000 0.000 12.865
Rh 0.000 1.580 4.210
Rh 1.368 0.790 21.519
```

=====

(12)
Here is crystalline LiHo2Au2 at its relaxed geometry from Alexandria via LeMat-Bulk. Energies are from PBE.

**Energy of formation from the pure elements**: -3.0 eV per formula unit

Structure (extended XYZ):
```
10
Lattice="-3.775 5.658 2.832 3.775 -5.658 2.832 3.775 5.658 -2.832" Properties=species:S:1:pos:R:3 pbc="T T T"
Li 0.000 0.000 1.416
Li 0.000 0.000 4.249
Ho 4.967 1.855 0.000
Ho 1.192 3.803 0.000
Ho 2.583 1.855 2.832
Ho -1.192 3.803 2.832
Au 2.119 1.076 0.000
Au 2.119 -1.076 2.832
Au 1.656 6.733 0.000
Au 1.656 4.582 2.832
```

=====

DOS(E_F) list, top to bottom, in states/eV per cell: 4.5, 7.0, 2.0, 14.4, 8.6, 1.6, 8.1, 10.3, 5.4, 22.1, 16.1, 7.2
Raw total energy list, top to bottom, in eV per atom: -3.842, -4.278, -4.122, -4.105, -5.690, -7.091, -6.295, -5.932, -4.695, -4.806, -9.443, -4.135